Record 1
The following is a DFT calculation (PBE) of a geometry-optimized KPu2I6 structure.

Summary:
Crystal system: trigonal
Energy (eV/atom): -5.5023

Cell: 8.3007 8.3007 22.2048 Å, 90.00 90.00 120.00°
Space group R3 (No. 146, hexagonal axes)
Asymmetric unit:
K: 0.0000 0.0000 0.0000 (multiplicity 3)
Pu: 0.0000 0.0000 0.5041 (multiplicity 3)
Pu: 0.0000 0.0000 0.6892 (multiplicity 3)
I: 0.0140 0.3420 0.4334 (multiplicity 9)
I: 0.0602 0.7017 0.2636 (multiplicity 9)

=====

Record 2
The following is a DFT calculation (PBE) of a geometry-optimized K2PuI8 structure.

Summary:
Crystal system: monoclinic
Energy (eV/atom): -3.4943

Cell: 14.891 12.818 6.549 Å, 90.00 104.46 90.00°
Space group C2/m (No. 12)
Asymmetric unit:
K: 0.218 0.000 0.110 (multiplicity 4)
Pu: 0.000 0.500 0.000 (multiplicity 2)
I: 0.003 0.000 0.256 (multiplicity 4)
I: 0.081 0.334 0.790 (multiplicity 8)
I: 0.181 0.500 0.330 (multiplicity 4)

=====

Record 3
The following is a DFT calculation (PBE) of a geometry-optimized K6PuI12 structure.

Summary:
Crystal system: trigonal
Energy (eV/atom): -3.1645

Cell: 14.9406 14.9406 14.8350 Å, 90.00 90.00 120.00°
Space group R-3 (No. 148, hexagonal axes)
Asymmetric unit:
K: 0.0570 0.5945 0.3104 (multiplicity 18)
Pu: 0.0000 0.0000 0.0000 (multiplicity 3)
I: 0.0567 0.8687 0.8847 (multiplicity 18)
I: 0.0643 0.8237 0.4028 (multiplicity 18)

=====

Record 4
The following is a DFT calculation (PBE) of a geometry-optimized K2PuI4 structure.

Summary:
Crystal system: tetragonal
Energy (eV/atom): -4.4458

Cell: 6.230 6.230 17.984 Å, 90.00 90.00 90.00°
Space group I4/mmm (No. 139)
Asymmetric unit:
K: 0.000 0.000 0.134 (multiplicity 4)
Pu: 0.000 0.000 0.500 (multiplicity 2)
I: 0.000 0.000 0.324 (multiplicity 4)
I: 0.000 0.500 0.000 (multiplicity 4)

=====

Record 5
The following is a DFT calculation (PBE) of a geometry-optimized KPuI6 structure.

Summary:
Crystal system: triclinic
Energy (eV/atom): -3.9410

Cell: 7.975 7.984 8.482 Å, 61.99 62.10 60.12°
Space group P-1 (No. 2)
Asymmetric unit:
K: 0.000 0.000 0.000 (multiplicity 1)
Pu: 0.500 0.500 0.500 (multiplicity 1)
I: 0.095 0.691 0.738 (multiplicity 2)
I: 0.307 0.523 0.262 (multiplicity 2)
I: 0.477 0.094 0.738 (multiplicity 2)

=====

Record 6
The following is a DFT calculation (PBE) of a geometry-optimized K5Pu3I12 structure.

Summary:
Crystal system: cubic
Energy (eV/atom): -4.4462

Cell: 19.723 19.723 19.723 Å, 90.00 90.00 90.00°
Space group Ia-3d (No. 230)
Asymmetric unit:
K: 0.000 0.000 0.000 (multiplicity 16)
K: 0.000 0.250 0.375 (multiplicity 24)
Pu: 0.000 0.250 0.125 (multiplicity 24)
I: 0.022 0.085 0.650 (multiplicity 96)

=====

What are the energy relative to the elements, uncorrected values for these records? In order: -1.162 -0.865 -1.085 -1.199 -0.850 -1.092 eV per atom.
What are the spin magnetization values for these records? In order: 0.1 6.4 19.3 12.0 3.0 136.0 Bohr magnetons per cell.